[1]
Below is a relaxed Cr2NiF crystal, with properties calculated at the PBEsol level.

```
Cr2NiF
1.0
-2.5649 -1.1908 2.6920
-0.0575 -3.7390 1.1225
1.2337 -0.9855 3.5708
Ni F Cr
1 1 2
direct
0.5000 0.5000 0.5000
0.0000 0.0000 0.0000
0.2500 0.2500 0.2500
0.7500 0.7500 0.7500
```

Computed properties:
Crystal system: cubic
Raw total energy, eV per atom: -6.857
Energy relative to the elements, uncorrected, eV/atom: 0.285
Volume, Å³/atom: 10.52
SG: No. 225

[2]
Below is a relaxed CrNiF6 crystal, with properties calculated at the PBEsol level.

```
CrNiF6
1.0
-4.6640 0.2508 1.3058
-2.6411 -4.0524 0.3514
-1.2800 -1.6557 4.7524
Ni F Cr
1 6 1
direct
0.0000 0.0000 0.0000
0.2580 0.6078 0.2574
0.8768 0.2580 0.2574
0.6078 0.8768 0.2574
0.3922 0.1232 0.7426
0.1232 0.7420 0.7426
0.7420 0.3922 0.7426
0.5000 0.5000 0.5000
```

Computed properties:
Crystal system: trigonal
Raw total energy, eV per atom: -5.630
Energy relative to the elements, uncorrected, eV/atom: -2.135
Volume, Å³/atom: 11.14
SG: No. 148

[3]
Below is a relaxed Sc2CrNiF crystal, with properties calculated at the PBEsol level.

```
Sc2CrNiF
1.0
3.6460 0.0000 0.0000
0.0000 4.9999 0.0000
0.0000 0.0000 4.9999
Sc Ni F Cr
2 1 1 1
direct
0.0000 0.0000 0.5000
0.0000 0.5000 0.0000
0.0000 0.0000 0.0000
0.5000 0.0000 0.0000
0.5000 0.5000 0.5000
```

Computed properties:
Crystal system: tetragonal
Raw total energy, eV per atom: -6.197
Energy relative to the elements, uncorrected, eV/atom: 0.111
Volume, Å³/atom: 18.23
SG: No. 123